# 1
Entry from Alexandria: crystalline Sm4Ho3Cd at its relaxed geometry (GGA-PBE).

Calculated values
SG: P4/mmm
Mass density, Mg/m³: 8.0
Energy relative to the elements, eV/atom: -0.06

The structure in extended XYZ format:
```
8
Lattice="3.605 0.000 0.000 0.000 3.605 0.000 0.000 0.000 19.255" Properties=species:S:1:pos:R:3 pbc="T T T"
Ho 1.803 1.803 9.627
Ho 1.803 1.803 4.628
Ho 1.803 1.803 14.627
Sm 0.000 0.000 7.132
Sm 0.000 0.000 17.133
Sm 0.000 0.000 2.122
Sm 0.000 0.000 12.122
Cd 1.803 1.803 0.000
```

***

# 2
Entry from Alexandria: crystalline RbNaRhPb2 at its relaxed geometry (GGA-PBE).

Calculated values
SG: P4/mmm
Mass density, Mg/m³: 6.4
Energy relative to the elements, eV/atom: -0.04

The structure in extended XYZ format:
```
5
Lattice="-0.065 -4.879 2.118 1.788 -2.015 -4.586 5.421 0.710 1.802" Properties=species:S:1:pos:R:3 pbc="T T T"
Pb 0.894 -1.007 -2.293
Pb -0.032 -2.439 1.059
Rb 3.572 -3.092 -0.333
Rh 0.000 0.000 0.000
Na 2.711 0.355 0.901
```

***

# 3
Entry from Alexandria: crystalline Na5LiCd6 at its relaxed geometry (GGA-PBE).

Calculated values
SG: C2/m
Mass density, Mg/m³: 4.4
Energy relative to the elements, eV/atom: -0.08

The structure in extended XYZ format:
```
12
Lattice="-9.394 4.471 -0.288 -1.907 0.977 4.095 2.025 6.741 1.943" Properties=species:S:1:pos:R:3 pbc="T T T"
Na 0.029 2.551 2.013
Na 0.089 5.167 4.025
Na -3.671 6.880 1.834
Na -5.651 2.724 1.904
Na -5.605 5.308 3.916
Cd -2.739 1.322 1.006
Cd -6.513 8.337 2.754
Cd -8.562 4.126 2.801
Cd -6.608 5.646 0.743
Cd -2.667 6.542 5.008
Cd -2.763 3.852 2.997
Li 0.000 0.000 0.000
```

***

# 4
Entry from Alexandria: crystalline RbAcAgSb at its relaxed geometry (GGA-PBE).

Calculated values
SG: F-43m
Mass density, Mg/m³: 6.6
ΔE_f (raw), eV per atom: -0.38

The structure in extended XYZ format:
```
4
Lattice="-0.513 -2.562 -5.161 3.490 -4.394 -1.407 -2.116 -5.372 -0.365" Properties=species:S:1:pos:R:3 pbc="T T T"
Ag 0.215 -3.082 -1.733
Rb 0.000 0.000 0.000
Sb 0.646 -9.246 -5.200
Ac 0.430 -6.164 -3.467
```

***

Please write out number 1 again, unchanged.
Entry from Alexandria: crystalline Sm4Ho3Cd at its relaxed geometry (GGA-PBE).

Calculated values
SG: P4/mmm
Mass density, Mg/m³: 8.0
Energy relative to the elements, eV/atom: -0.06

The structure in extended XYZ format:
```
8
Lattice="3.605 0.000 0.000 0.000 3.605 0.000 0.000 0.000 19.255" Properties=species:S:1:pos:R:3 pbc="T T T"
Ho 1.803 1.803 9.627
Ho 1.803 1.803 4.628
Ho 1.803 1.803 14.627
Sm 0.000 0.000 7.132
Sm 0.000 0.000 17.133
Sm 0.000 0.000 2.122
Sm 0.000 0.000 12.122
Cd 1.803 1.803 0.000
```

***

Which value of mass density does entry 1 give? 8.0 Mg/m³

***

The highest mass density belongs to which entry? Sm4Ho3Cd